Entry 1:
Entry from the Alexandria database: a relaxed structure of ZrTcOs2 (PBE).

The structure belongs to space group Cm (No. 8); the cell edges are 9.5472, 2.9055 and 4.7754 Å and the angles 90.00°, 101.55° and 90.00°. Symmetry generates all atoms from Zr at (0.0000, 0.0000, 0.0000), Tc at (0.2302, 0.0000, 0.7189), Os at (0.2648, 0.5000, 0.2777) and Os at (0.4970, 0.0000, 0.4961).

The calculation puts the distance to the lowest polymorph of the same formula at 12 kJ/mol of formula units. As for the energy of formation: 30 meV/atom.

Entry 2:
Entry from the Alexandria database: a relaxed structure of Zr3TcOs (PBE).

The structure belongs to space group Pm-3m (No. 221); the cell edges are 4.9726, 4.9726 and 4.9726 Å and the angles 90.00°, 90.00° and 90.00°. Symmetry generates all atoms from Zr at (0.0000, 0.0000, 0.5000), Tc at (0.5000, 0.5000, 0.5000) and Os at (0.0000, 0.0000, 0.0000).

The calculation puts the distance to the lowest polymorph of the same formula at 0 kJ/mol of formula units. As for the energy of formation: 862 meV/atom.

Entry 3:
Entry from the Alexandria database: a relaxed structure of ZrTc3Os (PBE).

The structure belongs to space group Pm-3m (No. 221); the cell edges are 4.6687, 4.6687 and 4.6687 Å and the angles 90.00°, 90.00° and 90.00°. Symmetry generates all atoms from Zr at (0.0000, 0.0000, 0.0000), Tc at (0.0000, 0.5000, 0.5000) and Os at (0.5000, 0.5000, 0.5000).

The calculation puts the distance to the lowest polymorph of the same formula at 0 kJ/mol of formula units. As for the energy of formation: 1212 meV/atom.

Entry 4:
Entry from the Alexandria database: a relaxed structure of ZrTcOs2 (PBE).

The structure belongs to space group Imm2 (No. 44); the cell edges are 3.1892, 4.5312 and 8.9138 Å and the angles 90.00°, 90.00° and 90.00°. Symmetry generates all atoms from Zr at (0.0000, 0.0000, 0.0000), Tc at (0.0000, 0.5000, 0.2544), Os at (0.0000, 0.0000, 0.5074) and Os at (0.0000, 0.5000, 0.7500).

The calculation puts the distance to the lowest polymorph of the same formula at 55 kJ/mol of formula units. As for the energy of formation: 142 meV/atom.

Entry 5:
Entry from the Alexandria database: a relaxed structure of ZrTc2Os (PBE).

The structure belongs to space group P4mm (No. 99); the cell edges are 2.8264, 2.8264 and 8.1468 Å and the angles 90.00°, 90.00° and 90.00°. Symmetry generates all atoms from Zr at (0.0000, 0.0000, 0.0000), Tc at (0.0000, 0.0000, 0.4868), Tc at (0.5000, 0.5000, 0.7189) and Os at (0.5000, 0.5000, 0.2742).

The calculation puts the distance to the lowest polymorph of the same formula at 19 kJ/mol of formula units. As for the energy of formation: 50 meV/atom.

Entry 6:
Entry from the Alexandria database: a relaxed structure of ZrTcOs2 (PBE).

The structure belongs to space group Cmmm (No. 65); the cell edges are 5.6802, 7.7525 and 2.9047 Å and the angles 90.00°, 90.00° and 90.00°. Symmetry generates all atoms from Zr at (0.0000, 0.0000, 0.0000), Tc at (0.0000, 0.5000, 0.0000) and Os at (0.2500, 0.2500, 0.5000).

The calculation puts the distance to the lowest polymorph of the same formula at 18 kJ/mol of formula units. As for the energy of formation: 46 meV/atom.

Entry 7:
Entry from the Alexandria database: a relaxed structure of ZrTc2Os (PBE).

The structure belongs to space group R3m (No. 160, hexagonal axes); the cell edges are 2.8157, 2.8157 and 28.1658 Å and the angles 90.00°, 90.00° and 120.00°. Symmetry generates all atoms from Zr at (0.0000, 0.0000, 0.0000), Tc at (0.0000, 0.0000, 0.2420), Tc at (0.0000, 0.0000, 0.4996) and Os at (0.0000, 0.0000, 0.7568).

The calculation puts the distance to the lowest polymorph of the same formula at 71 kJ/mol of formula units. As for the energy of formation: 183 meV/atom.

Entry 8:
Entry from the Alexandria database: a relaxed structure of Zr4TcOs3 (PBE).

The structure belongs to space group P4/mmm (No. 123); the cell edges are 3.2857, 3.2857 and 13.1683 Å and the angles 90.00°, 90.00° and 90.00°. Symmetry generates all atoms from Zr at (0.0000, 0.0000, 0.1233), Zr at (0.0000, 0.0000, 0.3742), Tc at (0.5000, 0.5000, 0.0000), Os at (0.5000, 0.5000, 0.2512) and Os at (0.5000, 0.5000, 0.5000).

As for the energy of formation: -505 meV/atom.